Density functional theory data (PBE-GGA) for a relaxed structure of CoSbPt2.

abc: 3.439 3.439 5.570
angles: 90.00 90.00 90.00
Space group P4mm (No. 99)
Symmetry-distinct sites (fractional):
Co1 0.000 0.000 0.000 [1 per cell]
Sb1 0.500 0.500 0.718 [1 per cell]
Pt1 0.000 0.000 0.477 [1 per cell]
Pt2 0.500 0.500 0.197 [1 per cell]

Computed properties:
DFT total energy   -5.82 eV/atom
Uncorrected formation energy   0.012 eV per atom

***

Density functional theory data (PBE-GGA) for a relaxed structure of Ca3Ac6Nd.

abc: 21.6687 21.6687 4.1340
angles: 90.00 90.00 120.00
Space group R3m (No. 160, hexagonal axes)
Symmetry-distinct sites (fractional):
Ca1 0.1454 0.0727 0.0000 [9 per cell]
Ac1 0.0944 0.1888 0.5465 [9 per cell]
Ac2 0.1787 0.3573 0.0976 [9 per cell]
Nd1 0.0000 0.0000 0.4956 [3 per cell]

Computed properties:
ΔE_f   6.0 eV/f.u.
DFT total energy   -2.94 eV/atom

***

Density functional theory data (PBE-GGA) for a relaxed structure of RbY2CdRe.

abc: 5.718 5.718 5.232
angles: 90.00 90.00 90.00
Space group P4/mmm (No. 123)
Symmetry-distinct sites (fractional):
Rb1 0.000 0.000 0.000 [1 per cell]
Y1 0.000 0.500 0.500 [2 per cell]
Cd1 0.500 0.500 0.500 [1 per cell]
Re1 0.500 0.500 0.000 [1 per cell]

Computed properties:
ΔE_f   6.2 eV/f.u.
DFT total energy   -4.21 eV/atom

***

Density functional theory data (PBE-GGA) for a relaxed structure of CaErTh2As4.

abc: 7.228 4.230 7.337
angles: 90.00 109.66 90.00
Space group P2/m (No. 10)
Symmetry-distinct sites (fractional):
Ca1 0.000 0.000 0.000 [1 per cell]
Er1 0.000 0.500 0.500 [1 per cell]
Th1 0.500 0.000 0.500 [1 per cell]
Th2 0.500 0.500 0.000 [1 per cell]
As1 0.244 0.000 0.744 [2 per cell]
As2 0.249 0.500 0.254 [2 per cell]

Computed properties:
ΔE_f   -11.3 eV/f.u.
DFT total energy   -6.41 eV/atom

***

Number 1: calculated volume 16.47 A^3/atom. Number 2: calculated volume 56.03 A^3/atom. Number 3: calculated volume 34.22 A^3/atom. Number 4: calculated volume 26.41 A^3/atom.